# Sm3V (PBE, relaxed)
# Calculated formation energy in eV per atom: 0.36
data_Sm3V
_chemical_formula_sum 'Sm12 V4'
_symmetry_space_group_name_H-M 'F m -3 m'
_symmetry_Int_Tables_number 225
_symmetry_space_group_name_Hall '-F 4 2 3'
_cell_length_a 7.7184
_cell_length_b 7.7184
_cell_length_c 7.7184
_cell_angle_alpha 90.00
_cell_angle_beta 90.00
_cell_angle_gamma 90.00
loop_
_atom_site_label
_atom_site_fract_x
_atom_site_fract_y
_atom_site_fract_z
Sm1 0.0000 0.0000 0.0000
Sm2 0.2500 0.2500 0.2500
V1 0.0000 0.0000 0.5000

=====

# Ho2Si5Pd3 (PBE, relaxed)
# Formation energy from raw total energies in eV/f.u.: -7.89
data_Ho2Si5Pd3
_chemical_formula_sum 'Ho8 Si20 Pd12'
_symmetry_space_group_name_H-M 'I b a m'
_symmetry_Int_Tables_number 72
_symmetry_space_group_name_Hall '-I 2 2c'
_cell_length_a 9.9886
_cell_length_b 11.5290
_cell_length_c 5.9124
_cell_angle_alpha 90.00
_cell_angle_beta 90.00
_cell_angle_gamma 90.00
loop_
_atom_site_label
_atom_site_fract_x
_atom_site_fract_y
_atom_site_fract_z
Ho1 0.2321 0.1280 0.0000
Si1 0.0000 0.0000 0.2500
Si2 0.0000 0.2752 0.2500
Si3 0.1525 0.3856 0.0000
Pd1 0.0000 0.5000 0.2500
Pd2 0.1122 0.1387 0.5000

=====

# Sm4Y3 (PBE, relaxed)
# ΔE to the lowest computed polymorph in eV per formula unit: 0.11
# Calculated formation energy in eV per atom: 0.13
data_Sm4Y3
_chemical_formula_sum 'Sm8 Y6'
_symmetry_space_group_name_H-M 'C 1 2/m 1'
_symmetry_Int_Tables_number 12
_cell_length_a 16.9379
_cell_length_b 3.5112
_cell_length_c 8.8273
_cell_angle_alpha 90.00
_cell_angle_beta 116.40
_cell_angle_gamma 90.00
loop_
_symmetry_equiv_pos_as_xyz
'x,y,z'
'-x,-y,-z'
'-x,y,-z'
'x,-y,z'
'x+1/2,y+1/2,z'
'-x+1/2,-y+1/2,-z'
'-x+1/2,y+1/2,-z'
'x+1/2,-y+1/2,z'
loop_
_atom_site_label
_atom_site_fract_x
_atom_site_fract_y
_atom_site_fract_z
Sm1 0.0783 0.0000 0.2027
Sm2 0.1371 0.5000 0.9094
Y1 0.0000 0.0000 0.5000
Y2 0.2212 0.0000 0.6470

=====

Copy entry 3 word for word.
# Sm4Y3 (PBE, relaxed)
# ΔE to the lowest computed polymorph in eV per formula unit: 0.11
# Calculated formation energy in eV per atom: 0.13
data_Sm4Y3
_chemical_formula_sum 'Sm8 Y6'
_symmetry_space_group_name_H-M 'C 1 2/m 1'
_symmetry_Int_Tables_number 12
_cell_length_a 16.9379
_cell_length_b 3.5112
_cell_length_c 8.8273
_cell_angle_alpha 90.00
_cell_angle_beta 116.40
_cell_angle_gamma 90.00
loop_
_symmetry_equiv_pos_as_xyz
'x,y,z'
'-x,-y,-z'
'-x,y,-z'
'x,-y,z'
'x+1/2,y+1/2,z'
'-x+1/2,-y+1/2,-z'
'-x+1/2,y+1/2,-z'
'x+1/2,-y+1/2,z'
loop_
_atom_site_label
_atom_site_fract_x
_atom_site_fract_y
_atom_site_fract_z
Sm1 0.0783 0.0000 0.2027
Sm2 0.1371 0.5000 0.9094
Y1 0.0000 0.0000 0.5000
Y2 0.2212 0.0000 0.6470

=====

What did the third record say?
# Sm4Y3 (PBE, relaxed)
# ΔE to the lowest computed polymorph in eV per formula unit: 0.11
# Calculated formation energy in eV per atom: 0.13
data_Sm4Y3
_chemical_formula_sum 'Sm8 Y6'
_symmetry_space_group_name_H-M 'C 1 2/m 1'
_symmetry_Int_Tables_number 12
_cell_length_a 16.9379
_cell_length_b 3.5112
_cell_length_c 8.8273
_cell_angle_alpha 90.00
_cell_angle_beta 116.40
_cell_angle_gamma 90.00
loop_
_symmetry_equiv_pos_as_xyz
'x,y,z'
'-x,-y,-z'
'-x,y,-z'
'x,-y,z'
'x+1/2,y+1/2,z'
'-x+1/2,-y+1/2,-z'
'-x+1/2,y+1/2,-z'
'x+1/2,-y+1/2,z'
loop_
_atom_site_label
_atom_site_fract_x
_atom_site_fract_y
_atom_site_fract_z
Sm1 0.0783 0.0000 0.2027
Sm2 0.1371 0.5000 0.9094
Y1 0.0000 0.0000 0.5000
Y2 0.2212 0.0000 0.6470